1.
Entry from Alexandria: K2HoBiSe4 after structural relaxation (PBE). Values from VASP.

Properties
- Calculated density: 5.3 g/cm3
- Formation energy without anion corrections: -1.282 eV/atom
- Symmetry: P2/m (10)
- Electronic total energy: -4.3563 eV per atom

```
&SYSTEM
  ibrav = 0, nat = 8, ntyp = 4
/
ATOMIC_SPECIES
K 39.10 K.upf
Ho 164.93 Ho.upf
Bi 208.98 Bi.upf
Se 78.96 Se.upf
ATOMIC_POSITIONS angstrom
K 0.000 0.000 0.000
K 3.704 2.128 0.000
Ho -1.221 2.128 3.849
Bi 2.483 0.000 3.849
Se -0.035 0.000 5.428
Se 1.180 2.128 2.235
Se 3.786 2.128 5.462
Se 5.002 0.000 2.269
CELL_PARAMETERS angstrom
7.408 0.000 0.000
0.000 4.255 0.000
-2.441 0.000 7.697
```


2.
Entry from Alexandria: K3Ho2BiSe6 after structural relaxation (PBE). Values from VASP.

Properties
- Calculated density: 5.2 g/cm3
- Formation energy without anion corrections: -1.443 eV/atom
- Symmetry: C2/m (12)
- Electronic total energy: -4.5460 eV per atom

```
&SYSTEM
  ibrav = 0, nat = 12, ntyp = 4
/
ATOMIC_SPECIES
K 39.10 K.upf
Ho 164.93 Ho.upf
Bi 208.98 Bi.upf
Se 78.96 Se.upf
ATOMIC_POSITIONS angstrom
K 0.000 0.000 0.000
K 3.675 2.087 0.000
K 3.675 -2.087 0.000
Ho 2.450 4.239 3.843
Ho 2.450 -4.239 3.843
Bi 2.450 0.000 3.843
Se 1.193 2.177 2.256
Se -0.065 0.000 5.426
Se 1.193 -2.177 2.256
Se 3.707 2.177 5.431
Se 4.964 0.000 2.260
Se 3.707 -2.177 5.431
CELL_PARAMETERS angstrom
3.675 -6.366 0.000
3.675 6.366 0.000
-2.451 0.000 7.687
```


3.
Entry from Alexandria: K3Ho3BiTe8 after structural relaxation (PBE). Values from VASP.

Properties
- Calculated density: 5.4 g/cm3
- Formation energy without anion corrections: -1.109 eV/atom
- Symmetry: P-1 (2)
- Electronic total energy: -4.1788 eV per atom

```
&SYSTEM
  ibrav = 0, nat = 15, ntyp = 4
/
ATOMIC_SPECIES
K 39.10 K.upf
Ho 164.93 Ho.upf
Bi 208.98 Bi.upf
Te 127.60 Te.upf
ATOMIC_POSITIONS angstrom
K 0.000 0.000 0.000
K 2.201 3.835 0.000
K 4.408 0.000 0.000
Ho 4.402 5.103 4.227
Ho 6.609 1.269 4.227
Ho 8.810 5.103 4.227
Bi 2.201 1.269 4.227
Te 4.472 2.588 2.459
Te 6.606 6.307 2.458
Te 6.606 3.822 5.988
Te 8.873 7.619 5.995
Te 8.746 2.588 2.459
Te 11.014 6.385 2.466
Te 11.014 3.900 5.997
Te 13.148 7.618 5.995
CELL_PARAMETERS angstrom
8.817 0.000 0.000
4.402 7.669 0.000
4.401 2.537 8.454
```


4.
Entry from Alexandria: K2HoBiTe4 after structural relaxation (PBE). Values from VASP.

Properties
- Calculated density: 5.4 g/cm3
- Formation energy without anion corrections: -1.004 eV/atom
- Symmetry: P2/m (10)
- Electronic total energy: -3.9063 eV per atom

```
&SYSTEM
  ibrav = 0, nat = 8, ntyp = 4
/
ATOMIC_SPECIES
K 39.10 K.upf
Ho 164.93 Ho.upf
Bi 208.98 Bi.upf
Te 127.60 Te.upf
ATOMIC_POSITIONS angstrom
K 0.000 0.000 0.000
K 3.961 2.260 0.000
Ho -1.290 2.260 4.131
Bi 2.671 0.000 4.131
Te 0.000 0.000 5.845
Te 1.286 2.260 2.395
Te 4.056 2.260 5.868
Te 5.342 0.000 2.417
CELL_PARAMETERS angstrom
7.922 0.000 0.000
0.000 4.519 0.000
-2.580 0.000 8.262
```


5.
Entry from Alexandria: K3HoBi2Te6 after structural relaxation (PBE). Values from VASP.

Properties
- Calculated density: 5.4 g/cm3
- Formation energy without anion corrections: -0.877 eV/atom
- Symmetry: C2/m (12)
- Electronic total energy: -3.7506 eV per atom

```
&SYSTEM
  ibrav = 0, nat = 12, ntyp = 4
/
ATOMIC_SPECIES
K 39.10 K.upf
Ho 164.93 Ho.upf
Bi 208.98 Bi.upf
Te 127.60 Te.upf
ATOMIC_POSITIONS angstrom
K 0.000 0.000 0.000
K 3.955 2.334 0.000
K 3.955 -2.334 0.000
Ho 2.638 0.000 4.131
Bi 2.638 4.575 4.131
Bi 2.638 -4.575 4.131
Te 1.344 2.244 2.405
Te 0.050 0.000 5.870
Te 1.344 -2.244 2.405
Te 3.931 2.244 5.857
Te 5.225 0.000 2.392
Te 3.931 -2.244 5.857
CELL_PARAMETERS angstrom
3.955 -6.850 0.000
3.955 6.850 0.000
-2.634 0.000 8.262
```


6.
Entry from Alexandria: LaHo2Bi after structural relaxation (PBE). Values from VASP.

Properties
- Calculated density: 9.5 g/cm3
- Energy above the lowest structure with this stoichiometry: 226 meV/atom
- Symmetry: Fm-3m (225)
- Electronic total energy: -4.6435 eV per atom

```
&SYSTEM
  ibrav = 0, nat = 4, ntyp = 3
/
ATOMIC_SPECIES
La 138.91 La.upf
Ho 164.93 Ho.upf
Bi 208.98 Bi.upf
ATOMIC_POSITIONS angstrom
La 0.000 0.000 0.000
Ho 1.951 1.951 1.951
Ho 5.853 5.853 5.853
Bi 3.902 3.902 3.902
CELL_PARAMETERS angstrom
0.000 3.902 3.902
3.902 0.000 3.902
3.902 3.902 0.000
```


7.
Entry from Alexandria: LaHo2Bi after structural relaxation (PBE). Values from VASP.

Properties
- Calculated density: 8.1 g/cm3
- Energy above the lowest structure with this stoichiometry: 209 meV/atom
- Symmetry: R3m (160)
- Electronic total energy: -4.6597 eV per atom

```
&SYSTEM
  ibrav = 0, nat = 4, ntyp = 3
/
ATOMIC_SPECIES
La 138.91 La.upf
Ho 164.93 Ho.upf
Bi 208.98 Bi.upf
ATOMIC_POSITIONS angstrom
La 0.000 0.000 0.000
Ho 0.000 0.000 16.593
Ho 0.000 0.000 22.357
Bi 0.000 0.000 4.838
CELL_PARAMETERS angstrom
2.033 1.174 9.751
-2.033 1.174 9.751
0.000 -2.348 9.751
```


8.
Entry from Alexandria: La4HoBi5 after structural relaxation (PBE). Values from VASP.

Properties
- Calculated density: 8.2 g/cm3
- Symmetry: I4/m (87)
- Electronic total energy: -5.3722 eV per atom

```
&SYSTEM
  ibrav = 0, nat = 10, ntyp = 3
/
ATOMIC_SPECIES
La 138.91 La.upf
Ho 164.93 Ho.upf
Bi 208.98 Bi.upf
ATOMIC_POSITIONS angstrom
La 3.127 1.013 0.000
La 4.194 -2.080 3.299
La 1.013 7.287 0.000
La 2.080 4.194 3.299
Ho 0.000 0.000 3.299
Bi 0.000 0.000 0.000
Bi 6.230 2.159 0.000
Bi 2.159 4.184 0.000
Bi 3.048 1.023 3.299
Bi -1.023 3.048 3.299
CELL_PARAMETERS angstrom
-5.207 5.207 3.299
5.207 -5.207 3.299
5.207 5.207 -3.299
```


9.
Entry from Alexandria: LaHo2Bi after structural relaxation (PBE). Values from VASP.

Properties
- Calculated density: 9.4 g/cm3
- Energy above the lowest structure with this stoichiometry: 0 meV/atom
- Symmetry: P4/mmm (123)
- Electronic total energy: -4.8690 eV per atom

```
&SYSTEM
  ibrav = 0, nat = 4, ntyp = 3
/
ATOMIC_SPECIES
La 138.91 La.upf
Ho 164.93 Ho.upf
Bi 208.98 Bi.upf
ATOMIC_POSITIONS angstrom
La 0.000 0.000 0.000
Ho 0.000 2.477 2.449
Ho 2.477 0.000 2.449
Bi 2.477 2.477 0.000
CELL_PARAMETERS angstrom
4.955 0.000 0.000
0.000 4.955 0.000
0.000 0.000 4.897
```


10.
Entry from Alexandria: LaHoBi2 after structural relaxation (PBE). Values from VASP.

Properties
- Calculated density: 8.6 g/cm3
- Energy above the lowest structure with this stoichiometry: 119 meV/atom
- Symmetry: R3m (160)
- Electronic total energy: -5.1407 eV per atom

```
&SYSTEM
  ibrav = 0, nat = 4, ntyp = 3
/
ATOMIC_SPECIES
La 138.91 La.upf
Ho 164.93 Ho.upf
Bi 208.98 Bi.upf
ATOMIC_POSITIONS angstrom
La 0.000 0.000 0.000
Ho 0.000 0.000 3.987
Bi 0.000 0.000 9.851
Bi 0.000 0.000 13.611
CELL_PARAMETERS angstrom
2.277 1.314 7.786
-2.277 1.314 7.786
0.000 -2.629 7.786
```


11.
Entry from Alexandria: LaHoBi3 after structural relaxation (PBE). Values from VASP.

Properties
- Calculated density: 9.6 g/cm3
- Symmetry: P2_1/m (11)
- Electronic total energy: -4.8426 eV per atom

```
&SYSTEM
  ibrav = 0, nat = 10, ntyp = 3
/
ATOMIC_SPECIES
La 138.91 La.upf
Ho 164.93 Ho.upf
Bi 208.98 Bi.upf
ATOMIC_POSITIONS angstrom
La -0.063 1.503 2.558
La 3.729 4.509 6.261
Ho 0.663 1.503 6.561
Ho 3.003 4.509 2.258
Bi -0.065 4.509 1.130
Bi 0.466 4.509 4.395
Bi 0.720 4.509 7.701
Bi 2.946 1.503 1.118
Bi 3.201 1.503 4.424
Bi 3.731 1.503 7.689
CELL_PARAMETERS angstrom
6.064 0.000 0.000
0.000 6.012 0.000
-2.398 0.000 8.819
```


12.
Entry from Alexandria: LaHoBi2 after structural relaxation (PBE). Values from VASP.

Properties
- Calculated density: 8.8 g/cm3
- Energy above the lowest structure with this stoichiometry: 0 meV/atom
- Symmetry: C2/m (12)
- Electronic total energy: -5.2600 eV per atom

```
&SYSTEM
  ibrav = 0, nat = 4, ntyp = 3
/
ATOMIC_SPECIES
La 138.91 La.upf
Ho 164.93 Ho.upf
Bi 208.98 Bi.upf
ATOMIC_POSITIONS angstrom
La 0.000 0.000 0.000
Ho 2.648 0.000 3.728
Bi -0.005 0.000 5.487
Bi 5.301 0.000 1.968
CELL_PARAMETERS angstrom
3.977 -2.299 0.000
3.977 2.299 0.000
-2.659 0.000 7.455
```